! Sm5ReN6 PBE-GGA relaxed; values from VASP
! DOS at the Fermi energy = 0.435 states/eV per atom
! calculated density = 9563 kg/m3
! uncorrected energy = -99.09 eV per cell
! formation energy (no corrections) = -1.09 eV per atom
&SYSTEM
  ibrav = 0, nat = 12, ntyp = 3
/
ATOMIC_SPECIES
Sm 150.36 Sm.upf
Re 186.21 Re.upf
N 14.01 N.upf
CELL_PARAMETERS angstrom
3.014 -5.198 0.000
3.014 5.198 0.000
-2.030 0.000 5.663
ATOMIC_POSITIONS crystal
Sm 0.000 0.000 0.000
Sm 0.166 0.834 0.500
Sm 0.335 0.665 0.000
Sm 0.665 0.335 0.000
Sm 0.834 0.166 0.500
Re 0.500 0.500 0.500
N 0.115 0.423 0.269
N 0.265 0.265 0.745
N 0.423 0.115 0.269
N 0.577 0.885 0.731
N 0.735 0.735 0.255
N 0.885 0.577 0.731